(1)
# Ti2ICl | Alexandria | PBE | relaxed
# energy relative to the lowest polymorph listed for this composition = 0.0 meV per atom
# ΔE_f (raw) = -0.07 eV per atom
# electronic total energy = -4.8624 eV per atom
# N(E_F) = 2.7 states/eV/f.u.
# total moment = 1.99 μB per formula unit
data_Ti2ICl
_cell_length_a 4.7376
_cell_length_b 4.7376
_cell_length_c 16.3532
_cell_angle_alpha 90.00
_cell_angle_beta 90.00
_cell_angle_gamma 90.00
_space_group_name_H-M_alt 'I -4 2 d'
_space_group_IT_number 122
_space_group_name_Hall 'I -4 2bw'
loop_
_atom_site_label
_atom_site_type_symbol
_atom_site_fract_x
_atom_site_fract_y
_atom_site_fract_z
Ti1 Ti 0.1749 0.2500 0.1250
I1 I 0.0000 0.0000 0.5000
Cl1 Cl 0.0000 0.0000 0.0000


(2)
# TeOsPb2 | Alexandria | PBE | relaxed
# ΔE_f (raw) = 0.58 eV per atom
# electronic total energy = -4.8695 eV per atom
# N(E_F) = 2.1 states/eV/f.u.
# total moment = 0.00 μB per formula unit
data_TeOsPb2
_cell_length_a 3.2689
_cell_length_b 3.2689
_cell_length_c 33.8451
_cell_angle_alpha 90.00
_cell_angle_beta 90.00
_cell_angle_gamma 120.00
_space_group_name_H-M_alt 'R -3 m'
_space_group_IT_number 166
_space_group_name_Hall '-R 3 2"'
loop_
_atom_site_label
_atom_site_type_symbol
_atom_site_fract_x
_atom_site_fract_y
_atom_site_fract_z
Te1 Te 0.0000 0.0000 0.0000
Os1 Os 0.0000 0.0000 0.5000
Pb1 Pb 0.0000 0.0000 0.2310


(3)
# Na2YPd | Alexandria | PBE | relaxed
# energy relative to the lowest polymorph listed for this composition = 0.0 meV per atom
# calculated formation energy = -0.071 eV per atom
# electronic total energy = -3.6451 eV per atom
# N(E_F) = 2.3 states/eV/f.u.
# total moment = 0.00 μB per formula unit
data_Na2YPd
_cell_length_a 4.1151
_cell_length_b 4.1151
_cell_length_c 24.1915
_cell_angle_alpha 90.00
_cell_angle_beta 90.00
_cell_angle_gamma 90.00
_space_group_name_H-M_alt 'I -4 2 d'
_space_group_IT_number 122
_space_group_name_Hall 'I -4 2bw'
loop_
_atom_site_label
_atom_site_type_symbol
_atom_site_fract_x
_atom_site_fract_y
_atom_site_fract_z
Na1 Na 0.2220 0.2500 0.1250
Y1 Y 0.0000 0.0000 0.5000
Pd1 Pd 0.0000 0.0000 0.0000


(4)
# Er3Sc7Bi2 | Alexandria | PBE | relaxed
# calculated formation energy = -0.085 eV per atom
# electronic total energy = -5.5659 eV per atom
# N(E_F) = 20.4 states/eV/f.u.
# total moment = 0.14 μB per formula unit
data_Er3Sc7Bi2
_cell_length_a 6.2984
_cell_length_b 6.2984
_cell_length_c 29.0908
_cell_angle_alpha 90.00
_cell_angle_beta 90.00
_cell_angle_gamma 120.00
_space_group_name_H-M_alt 'R -3 m'
_space_group_IT_number 166
_space_group_name_Hall '-R 3 2"'
loop_
_atom_site_label
_atom_site_type_symbol
_atom_site_fract_x
_atom_site_fract_y
_atom_site_fract_z
Er1 Er 0.0000 0.0000 0.0000
Er2 Er 0.0000 0.0000 0.1418
Sc1 Sc 0.0000 0.0000 0.5000
Sc2 Sc 0.0008 0.5004 0.9161
Bi1 Bi 0.0000 0.0000 0.3335


(5)
# Ho2Be3CdPt4 | Alexandria | PBE | relaxed
# calculated formation energy = -0.814 eV per atom
# electronic total energy = -5.3549 eV per atom
# N(E_F) = 3.6 states/eV/f.u.
# total moment = 0.00 μB per formula unit
data_Ho2Be3CdPt4
_cell_length_a 4.0013
_cell_length_b 4.0013
_cell_length_c 10.4672
_cell_angle_alpha 90.00
_cell_angle_beta 90.00
_cell_angle_gamma 90.00
_space_group_name_H-M_alt 'P -4 m 2'
_space_group_IT_number 115
_space_group_name_Hall 'P -4 -2'
loop_
_atom_site_label
_atom_site_type_symbol
_atom_site_fract_x
_atom_site_fract_y
_atom_site_fract_z
Ho1 Ho 0.0000 0.5000 0.2313
Be1 Be 0.0000 0.5000 0.8870
Be2 Be 0.5000 0.5000 0.5000
Cd1 Cd 0.0000 0.0000 0.5000
Pt1 Pt 0.0000 0.0000 0.0000
Pt2 Pt 0.0000 0.5000 0.6707
Pt3 Pt 0.5000 0.5000 0.0000


(6)
# CaAc2As3Pt12 | Alexandria | PBE | relaxed
# calculated formation energy = -0.298 eV per atom
# electronic total energy = -5.6677 eV per atom
# N(E_F) = 6.1 states/eV/f.u.
# total moment = 0.00 μB per formula unit
data_CaAc2As3Pt12
_cell_length_a 8.5889
_cell_length_b 8.5889
_cell_length_c 18.4402
_cell_angle_alpha 90.00
_cell_angle_beta 90.00
_cell_angle_gamma 120.00
_space_group_name_H-M_alt 'R -3 m'
_space_group_IT_number 166
_space_group_name_Hall '-R 3 2"'
loop_
_atom_site_label
_atom_site_type_symbol
_atom_site_fract_x
_atom_site_fract_y
_atom_site_fract_z
Ca1 Ca 0.0000 0.0000 0.0000
Ac1 Ac 0.0000 0.0000 0.3918
As1 As 0.0000 0.5000 0.5000
Pt1 Pt 0.0168 0.5084 0.3692
Pt2 Pt 0.0276 0.5138 0.8632


(7)
# Er6C3S2Cl | Alexandria | PBE | relaxed
# ΔE_f (raw) = -1.27 eV per atom
# electronic total energy = -6.7029 eV per atom
# N(E_F) = 2.4 states/eV/f.u.
# total moment = 0.00 μB per formula unit
data_Er6C3S2Cl
_cell_length_a 16.5242
_cell_length_b 3.6608
_cell_length_c 7.6417
_cell_angle_alpha 90.00
_cell_angle_beta 106.76
_cell_angle_gamma 90.00
_space_group_name_H-M_alt 'C 1 2/m 1'
_space_group_IT_number 12
_space_group_name_Hall '-C 2y'
loop_
_atom_site_label
_atom_site_type_symbol
_atom_site_fract_x
_atom_site_fract_y
_atom_site_fract_z
Er1 Er 0.0106 0.0000 0.2172
Er2 Er 0.1593 0.5000 0.1039
Er3 Er 0.1791 0.5000 0.5615
C1 C 0.0000 0.5000 0.0000
C2 C 0.1663 0.0000 0.3335
S1 S 0.1638 0.0000 0.8278
Cl1 Cl 0.0000 0.5000 0.5000


(8)
# Pm6Sm2Ho3Tm | Alexandria | PBE | relaxed
# calculated formation energy = 0.014 eV per atom
# electronic total energy = -4.6651 eV per atom
# N(E_F) = 14.6 states/eV/f.u.
# total moment = 0.00 μB per formula unit
data_Pm6Sm2Ho3Tm
_cell_length_a 6.2473
_cell_length_b 10.8191
_cell_length_c 11.8788
_cell_angle_alpha 90.00
_cell_angle_beta 100.07
_cell_angle_gamma 90.00
_space_group_name_H-M_alt 'C 1 2/m 1'
_space_group_IT_number 12
_space_group_name_Hall '-C 2y'
loop_
_atom_site_label
_atom_site_type_symbol
_atom_site_fract_x
_atom_site_fract_y
_atom_site_fract_z
Pm1 Pm 0.2485 0.0000 0.2480
Pm2 Pm 0.2501 0.1662 0.7516
Sm1 Sm 0.0000 0.3333 0.5000
Ho1 Ho 0.0000 0.1664 0.0000
Ho2 Ho 0.0000 0.5000 0.0000
Tm1 Tm 0.0000 0.0000 0.5000


Question: What is the N(E_F) in the eighth record?
Answer: 14.6 states/eV/f.u.


Question: Look up the total moment of the seventh one.
Answer: 0.00 μB per formula unit


Copy entry 4 word for word.
# Er3Sc7Bi2 | Alexandria | PBE | relaxed
# calculated formation energy = -0.085 eV per atom
# electronic total energy = -5.5659 eV per atom
# N(E_F) = 20.4 states/eV/f.u.
# total moment = 0.14 μB per formula unit
data_Er3Sc7Bi2
_cell_length_a 6.2984
_cell_length_b 6.2984
_cell_length_c 29.0908
_cell_angle_alpha 90.00
_cell_angle_beta 90.00
_cell_angle_gamma 120.00
_space_group_name_H-M_alt 'R -3 m'
_space_group_IT_number 166
_space_group_name_Hall '-R 3 2"'
loop_
_atom_site_label
_atom_site_type_symbol
_atom_site_fract_x
_atom_site_fract_y
_atom_site_fract_z
Er1 Er 0.0000 0.0000 0.0000
Er2 Er 0.0000 0.0000 0.1418
Sc1 Sc 0.0000 0.0000 0.5000
Sc2 Sc 0.0008 0.5004 0.9161
Bi1 Bi 0.0000 0.0000 0.3335